Crystalline NaScTe3Au at its relaxed geometry, computed with PBE.

abc: 4.015 15.134 10.964
angles: 90.00 90.00 90.00
Space group Cmcm (No. 63)
Unique sites:
Na1 0.000 0.225 0.250
Sc1 0.000 0.000 0.000
Te1 0.000 0.090 0.750
Te2 0.000 0.362 0.543
Au1 0.000 0.462 0.750

Values from the calculation:
Its total DFT energy (no corrections) is -99.6 eV for the cell shown. The size of the total moment comes out at 0.00 μB per formula unit. For the calculated volume, the calculation gives 27.8 A^3/atom.

Crystalline Ag4Bi2O5 at its relaxed geometry, computed with PBE.

abc: 14.393 5.713 8.700
angles: 90.00 90.00 90.00
Space group Pnna (No. 52)
Unique sites:
Ag1 0.080 0.008 0.137
Ag2 0.249 0.750 0.250
Ag3 0.250 0.000 0.929
Bi1 0.110 0.502 0.909
O1 0.045 0.543 0.129
O2 0.113 0.127 0.905
O3 0.250 0.000 0.444

Values from the calculation:
Its total DFT energy (no corrections) is -202.4 eV for the cell shown. For the calculated volume, the calculation gives 16.3 A^3/atom.

Crystalline TbTmCF2 at its relaxed geometry, computed with PBE.

abc: 3.6055 3.6055 6.2918
angles: 90.00 90.00 120.00
Space group P3m1 (No. 156)
Unique sites:
Tb1 0.0000 0.0000 0.0000
Tm1 0.6667 0.3333 0.4242
C1 0.3333 0.6667 0.2133
F1 0.0000 0.0000 0.5865
F2 0.6667 0.3333 0.8157

Values from the calculation:
Its total DFT energy (no corrections) is -34.2 eV for the cell shown. The size of the total moment comes out at 0.00 μB per formula unit. For the calculated volume, the calculation gives 14.2 A^3/atom.

Crystalline ZrAsAuO at its relaxed geometry, computed with PBE.

abc: 4.013 6.069 7.157
angles: 90.00 90.00 90.00
Space group Pmc2_1 (No. 26)
Unique sites:
Zr1 0.000 0.056 0.000
As1 0.500 0.301 0.858
Au1 0.500 0.329 0.519
O1 0.000 0.141 0.270

Values from the calculation:
The relative energy among the computed polymorphs comes out at 0.2188 eV/atom. The size of the total moment comes out at 0.00 μB per formula unit. For the calculated volume, the calculation gives 21.8 A^3/atom.

Crystalline PrNd5Te6 at its relaxed geometry, computed with PBE.

abc: 7.789 13.543 7.786
angles: 90.00 109.63 90.00
Space group C2/m (No. 12)
Unique sites:
Pr1 0.000 0.000 0.000
Nd1 0.000 0.165 0.500
Nd2 0.000 0.333 0.000
Nd3 0.000 0.500 0.500
Te1 0.248 0.500 0.250
Te2 0.249 0.332 0.749

Values from the calculation:
Its total DFT energy (no corrections) is -129.2 eV for the cell shown. The size of the total moment comes out at 0.01 μB per formula unit. For the calculated volume, the calculation gives 32.2 A^3/atom.

Crystalline PtS2 at its relaxed geometry, computed with PBE.

abc: 3.5916 3.5916 20.8344
angles: 90.00 90.00 120.00
Space group P6_3/mmc (No. 194)
Unique sites:
Pt1 0.0000 0.0000 0.0000
Pt2 0.0000 0.0000 0.2500
S1 0.3333 0.6667 0.0589
S2 0.3333 0.6667 0.6874

Values from the calculation:
Its total DFT energy (no corrections) is -57.9 eV for the cell shown. The size of the total moment comes out at 0.00 μB per formula unit. For the calculated volume, the calculation gives 19.4 A^3/atom.